VASP calculation (PBE-GGA) on a relaxed structure of Sc2TiGeO.

Lattice parameters (Å, degrees): 4.416 4.416 4.015 90.00 90.00 90.00
Fractional positions:
Sc  0.000  0.500  0.000
Sc  0.500  0.000  0.000
Ti  0.000  0.000  0.500
Ge  0.500  0.500  0.500
O  0.000  0.000  0.000

Properties
Total energy = -7.423 eV/atom
Space group = No. 123
Magnetic moment = 0.0 μB/f.u.
Calculated volume = 15.7 Å³/atom
D(E_F) = 4.06 states/eV per cell